[1]
# FeAs2Au (GGA-PBE, relaxed)
data_FeAs2Au
_cell_length_a 6.369
_cell_length_b 6.369
_cell_length_c 6.369
_cell_angle_alpha 90.00
_cell_angle_beta 90.00
_cell_angle_gamma 90.00
_space_group_name_H-M_alt 'F m -3 m'
_space_group_IT_number 225
_space_group_name_Hall '-F 4 2 3'
loop_
_atom_site_label
_atom_site_type_symbol
_atom_site_fract_x
_atom_site_fract_y
_atom_site_fract_z
Fe1 Fe 0.000 0.000 0.000
As1 As 0.250 0.250 0.250
Au1 Au 0.000 0.000 0.500
# * DFT total energy: -4.749 eV per atom
# * magnetization: 0.0000 μB per atom

***

[2]
# FeAs2Au (GGA-PBE, relaxed)
data_FeAs2Au
_cell_length_a 2.879
_cell_length_b 2.879
_cell_length_c 8.131
_cell_angle_alpha 90.00
_cell_angle_beta 90.00
_cell_angle_gamma 90.00
_space_group_name_H-M_alt 'P 4/m m m'
_space_group_IT_number 123
_space_group_name_Hall '-P 4 2'
loop_
_atom_site_label
_atom_site_type_symbol
_atom_site_fract_x
_atom_site_fract_y
_atom_site_fract_z
Fe1 Fe 0.000 0.000 0.000
As1 As 0.500 0.500 0.181
Au1 Au 0.000 0.000 0.500
# * DFT total energy: -5.138 eV per atom
# * magnetization: 0.1740 μB per atom

***

[3]
# FeAs2Au (GGA-PBE, relaxed)
data_FeAs2Au
_cell_length_a 9.709
_cell_length_b 2.824
_cell_length_c 5.822
_cell_angle_alpha 90.00
_cell_angle_beta 111.57
_cell_angle_gamma 90.00
_space_group_name_H-M_alt 'C 1 m 1'
_space_group_IT_number 8
loop_
_space_group_symop_operation_xyz
'x,y,z'
'x,-y,z'
'x+1/2,y+1/2,z'
'x+1/2,-y+1/2,z'
loop_
_atom_site_label
_atom_site_type_symbol
_atom_site_fract_x
_atom_site_fract_y
_atom_site_fract_z
Fe1 Fe 0.000 0.000 0.000
As1 As 0.089 0.500 0.358
As2 As 0.428 0.000 0.651
Au1 Au 0.277 0.000 0.057
# * DFT total energy: -5.096 eV per atom
# * magnetization: 0.3722 μB per atom